Entry from Alexandria via LeMat-Bulk: an optimized crystal structure of AsS2ICl (PBE-GGA).

a = 4.9591 Å, b = 4.9591 Å, c = 4.8440 Å
α = 90.00°, β = 90.00°, γ = 90.00°
Space group P4/mmm (No. 123)
Inequivalent atoms, fractional coordinates:
1 As 0.0000 0.0000 0.0000 [1 per cell]
2 S 0.0000 0.5000 0.0000 [2 per cell]
3 I 0.5000 0.5000 0.5000 [1 per cell]
4 Cl 0.0000 0.0000 0.5000 [1 per cell]

Values from the calculation:
* total moment: 0.00 μB/cell
* V: 119.1 Å³/f.u.
* D(E_F): 1.03 states/eV per atom
* formation energy without anion corrections: 416 meV/atom
* distance to the lowest polymorph of the same formula: 0.0000 eV per atom
* calculated total energy: -14.22 eV/cell